ZrNb2TlCl | Alexandria | PBEsol | optimized geometry; spin magnetization = 0.0023 μB per atom; DFT total energy = -5.9614 eV/atom; calculated volume = 24.0 Å³ per atom; space group = P4/mmm (123)
1.0
-4.006 2.398 -1.021
-2.002 -4.170 -1.938
-1.863 -1.196 4.500
Nb Cl Zr Tl
2 1 1 1
Direct
0.000 0.500 0.000
0.000 0.000 0.500
0.500 0.000 0.000
0.000 0.000 0.000
0.500 0.500 0.500

***

NbWCl2 | Alexandria | PBEsol | optimized geometry; spin magnetization = 0.0000 μB per atom; DFT total energy = -6.2998 eV/atom; calculated volume = 14.5 Å³ per atom; space group = Fm-3m (225)
1.0
4.348 0.000 0.000
2.174 3.766 0.000
2.174 1.255 3.550
Nb W Cl
1 1 2
Direct
0.000 0.000 0.000
0.500 0.500 0.500
0.250 0.250 0.250
0.750 0.750 0.750

***

Nb3WCl | Alexandria | PBEsol | optimized geometry; spin magnetization = 0.0000 μB per atom; DFT total energy = -8.7783 eV/atom; calculated volume = 17.9 Å³ per atom; space group = Pm-3m (221)
1.0
4.474 0.000 0.000
0.000 4.474 0.000
0.000 0.000 4.474
W Nb Cl
1 3 1
Direct
0.500 0.500 0.500
0.000 0.500 0.000
0.000 0.000 0.500
0.500 0.000 0.000
0.000 0.000 0.000

***

Nb2ZnCl | Alexandria | PBEsol | optimized geometry; spin magnetization = 0.0001 μB per atom; DFT total energy = -6.0056 eV/atom; calculated volume = 15.7 Å³ per atom; space group = Fm-3m (225)
1.0
-1.689 -4.126 0.042
2.728 -3.525 0.108
0.284 -2.488 3.690
Zn Nb Cl
1 2 1
Direct
0.500 0.500 0.500
0.250 0.250 0.250
0.750 0.750 0.750
0.000 0.000 0.000

***

NbZn3Cl | Alexandria | PBEsol | optimized geometry; spin magnetization = 0.3890 μB per atom; DFT total energy = -2.4450 eV/atom; calculated volume = 19.3 Å³ per atom; space group = Pm-3m (221)
1.0
4.585 0.000 0.000
0.000 4.585 0.000
0.000 0.000 4.585
Nb Zn Cl
1 3 1
Direct
0.500 0.500 0.500
0.000 0.500 0.000
0.500 0.000 0.000
0.000 0.000 0.500
0.000 0.000 0.000

***

Nd4PClO8 | Alexandria | PBEsol | optimized geometry; spin magnetization = 0.0000 μB per atom; DFT total energy = -8.1934 eV/atom; calculated volume = 15.4 Å³ per atom; space group = Pmn2_1 (31)
1.0
5.794 0.000 0.000
0.000 5.744 0.000
0.000 0.000 12.922
O Nd P Cl
16 8 2 2
Direct
0.504 0.800 0.500
0.202 0.759 0.753
0.871 0.564 0.097
0.871 0.564 0.903
0.694 0.755 0.732
0.753 0.443 0.500
0.371 0.436 0.403
0.694 0.755 0.268
0.194 0.245 0.768
0.702 0.241 0.747
0.253 0.557 0.000
0.702 0.241 0.253
0.194 0.245 0.232
0.202 0.759 0.247
0.371 0.436 0.597
0.004 0.200 0.000
0.433 0.013 0.339
0.433 0.013 0.661
0.964 0.492 0.668
0.464 0.508 0.832
0.964 0.492 0.332
0.933 0.987 0.161
0.933 0.987 0.839
0.464 0.508 0.168
0.498 0.530 0.500
0.998 0.470 0.000
0.034 0.985 0.500
0.534 0.015 0.000

***

ΔE_f (raw) values (in eV/atom) by entry order: 1.11 0.86 0.88 0.30 1.07 -3.16.